1.
First-principles (PBE) data for Nd3Dy12Ho after structural relaxation, as listed in Alexandria.

The formation energy is 20 meV per atom.

Cell lengths 5.0435, 5.0435, 20.1743 Å; angles 90.00, 90.00, 90.00 degrees
Last column: nearest neighbours and their distance in Å.
Space group P4/mmm (No. 123)
Inequivalent atoms, fractional coordinates:
Nd  0.0000  0.0000  0.0000 x1  12 Dy 3.57
Nd  0.0000  0.0000  0.2508 x2  12 Dy 3.57-3.58
Dy  0.0000  0.5000  0.1256 x4  8 Dy 3.57-3.58, 4 Nd 3.57
Dy  0.0000  0.5000  0.3768 x4  8 Dy 3.54-3.57, 2 Ho 3.54, 2 Nd 3.58
Dy  0.5000  0.5000  0.0000 x1  4 Nd 3.57, 8 Dy 3.57
Dy  0.5000  0.5000  0.2515 x2  4 Nd 3.57, 8 Dy 3.57-3.58
Dy  0.5000  0.5000  0.5000 x1  8 Dy 3.54, 4 Ho 3.57
Ho  0.0000  0.0000  0.5000 x1  12 Dy 3.54-3.57


2.
First-principles (PBE) data for Ta2AlRh after structural relaxation, as listed in Alexandria.

The formation energy is -154 meV per atom.

Cell lengths 2.8778, 2.8778, 27.8870 Å; angles 90.00, 90.00, 120.00 degrees
Last column: nearest neighbours and their distance in Å.
Space group R-3m (No. 166, hexagonal axes)
Inequivalent atoms, fractional coordinates:
Ta  0.0000  0.0000  0.2476 x6  3 Rh 2.80, 6 Ta 2.88, 3 Al 2.91
Al  0.0000  0.0000  0.0000 x3  6 Al 2.88, 6 Ta 2.91
Rh  0.0000  0.0000  0.5000 x3  6 Ta 2.80, 6 Rh 2.88


3.
First-principles (PBE) data for SrGaB after structural relaxation, as listed in Alexandria.

The formation energy is -158 meV per atom.

Cell lengths 5.0786, 5.0803, 9.5654 Å; angles 90.00, 90.00, 90.00 degrees
Last column: nearest neighbours and their distance in Å.
Space group Immm (No. 71)
Inequivalent atoms, fractional coordinates:
Sr  0.0000  0.0000  0.1804 x4  6 B 3.18-3.51, 6 Ga 3.31-3.33, 1 Sr 3.45
Ga  0.0000  0.2574  0.5000 x4  2 B 2.17
B  0.1594  0.5000  0.0000 x4  1 B 1.62


4.
First-principles (PBE) data for Ca2Ac5Nd2 after structural relaxation, as listed in Alexandria.

The formation energy is 93 meV per atom. The excess energy over the best structure of this formula in the dataset is 0.0 meV/atom.

Cell lengths 10.5262, 6.3122, 11.4425 Å; angles 90.00, 94.62, 90.00 degrees
Last column: nearest neighbours and their distance in Å.
Space group C2/m (No. 12)
Inequivalent atoms, fractional coordinates:
Ca  0.1726  0.0000  0.1167 x4  7 Ac 3.75-3.88, 1 Nd 3.80
Ac  0.0000  0.5000  0.0000 x2  6 Ca 3.79-3.83, 2 Ac 3.92
Ac  0.0184  0.5000  0.3439 x4  5 Ac 3.62-3.92, 4 Nd 3.71-3.92
Ac  0.1555  0.0000  0.7770 x4  4 Ca 3.75-3.88, 2 Nd 3.78-4.15, 3 Ac 3.80-3.85
Nd  0.1730  0.0000  0.4488 x4  3 Nd 3.70-3.91, 5 Ac 3.71-3.92, 1 Ca 3.80


Mass density values (in g/cm3) by entry order: 8.24 12.25 4.53 6.59.